TaIn2 | PBE-GGA | optimized geometry

The structure in POSCAR format:
```
TaIn2
1.0
0.0000 6.3084 6.3084
6.3084 0.0000 6.3084
6.3084 6.3084 0.0000
Ta In
2 4
Direct
0.1250 0.1250 0.1250
0.8750 0.8750 0.8750
0.0000 0.0000 0.0000
0.0000 0.0000 0.5000
0.0000 0.5000 0.0000
0.5000 0.0000 0.0000
```

Computed properties:
SG = No. 227
M_tot = 0.0136 μB/atom
E = -23.03 eV/cell